(1)
The following is a DFT calculation (PBE-GGA) of TbEr8Al2 after structural relaxation. Values from VASP.

Cell and atoms, written as Quantum ESPRESSO input:
```
&SYSTEM
  ibrav = 0, nat = 11, ntyp = 3
/
ATOMIC_SPECIES
Tb 158.93 Tb.upf
Er 167.26 Er.upf
Al 26.98 Al.upf
CELL_PARAMETERS angstrom
-4.985 -0.212 -2.336
-1.828 -1.876 8.050
2.366 7.929 -1.790
ATOMIC_POSITIONS angstrom
Tb -2.492 -0.106 -1.168
Er -4.494 3.445 4.058
Er -3.498 5.773 1.721
Er -1.155 3.549 3.044
Er -3.383 0.209 4.683
Er -1.064 5.631 -0.759
Er -3.292 2.291 0.880
Er -0.948 0.067 2.203
Er 0.047 2.395 -0.134
Al 1.075 4.909 1.240
Al -0.537 1.143 5.020
```

Results
Calculated formation energy in meV per atom: 12
Final energy in eV per atom: -4.408
Crystal system: monoclinic

(2)
The following is a DFT calculation (PBE-GGA) of Tb5Er4Al after structural relaxation. Values from VASP.

Cell and atoms, written as Quantum ESPRESSO input:
```
&SYSTEM
  ibrav = 0, nat = 10, ntyp = 3
/
ATOMIC_SPECIES
Tb 158.93 Tb.upf
Er 167.26 Er.upf
Al 26.98 Al.upf
CELL_PARAMETERS angstrom
5.663 0.000 0.000
2.832 7.432 0.000
2.832 0.000 7.432
ATOMIC_POSITIONS angstrom
Tb 8.287 2.728 7.432
Tb 5.455 7.432 4.705
Tb 5.455 0.000 2.728
Tb 2.623 4.705 0.000
Tb 3.716 0.000 0.000
Er 5.418 2.349 5.084
Er 8.250 5.084 5.084
Er 2.587 2.348 2.349
Er 5.418 5.084 2.348
Al 0.988 0.000 0.000
```

Results
Calculated formation energy in meV per atom: 131
Final energy in eV per atom: -4.384
Crystal system: tetragonal

(3)
The following is a DFT calculation (PBE-GGA) of Tb12Er3Al after structural relaxation. Values from VASP.

Cell and atoms, written as Quantum ESPRESSO input:
```
&SYSTEM
  ibrav = 0, nat = 16, ntyp = 3
/
ATOMIC_SPECIES
Tb 158.93 Tb.upf
Er 167.26 Er.upf
Al 26.98 Al.upf
CELL_PARAMETERS angstrom
-1.178 -1.652 4.503
4.648 0.753 1.492
-4.805 18.624 5.574
ATOMIC_POSITIONS angstrom
Tb 1.735 -0.449 2.998
Tb 0.565 4.086 4.355
Tb -0.668 8.863 5.785
Tb -1.900 13.640 7.214
Tb -1.155 1.367 2.908
Tb -2.378 6.108 4.327
Tb -3.605 10.864 5.750
Tb -4.829 15.606 7.169
Tb 1.758 2.569 1.402
Tb 0.535 7.311 2.821
Tb -0.692 12.066 4.245
Tb -1.916 16.808 5.664
Er -1.184 4.588 1.373
Er -2.403 9.312 2.787
Er -3.622 14.036 4.201
Al 0.000 0.000 0.000
```

Results
Calculated formation energy in meV per atom: -20
Final energy in eV per atom: -4.582
Crystal system: tetragonal

(4)
The following is a DFT calculation (PBE-GGA) of Tb2Er2Al after structural relaxation. Values from VASP.

Cell and atoms, written as Quantum ESPRESSO input:
```
&SYSTEM
  ibrav = 0, nat = 5, ntyp = 3
/
ATOMIC_SPECIES
Tb 158.93 Tb.upf
Er 167.26 Er.upf
Al 26.98 Al.upf
CELL_PARAMETERS angstrom
-4.010 1.194 0.574
-0.888 -3.780 1.660
4.467 4.280 6.764
ATOMIC_POSITIONS angstrom
Tb -0.996 2.091 4.228
Tb 0.565 -0.397 4.771
Er 1.665 2.464 6.502
Er -2.096 -0.770 2.496
Al 0.000 0.000 0.000
```

Results
Calculated formation energy in meV per atom: 427
Final energy in eV per atom: -3.999
Crystal system: tetragonal

(5)
The following is a DFT calculation (PBE-GGA) of Tb3ErAl after structural relaxation. Values from VASP.

Cell and atoms, written as Quantum ESPRESSO input:
```
&SYSTEM
  ibrav = 0, nat = 10, ntyp = 3
/
ATOMIC_SPECIES
Tb 158.93 Tb.upf
Er 167.26 Er.upf
Al 26.98 Al.upf
CELL_PARAMETERS angstrom
3.597 0.001 0.000
1.799 6.427 0.588
-0.001 0.019 12.410
ATOMIC_POSITIONS angstrom
Tb 1.797 4.619 5.993
Tb 1.800 1.747 0.415
Tb 1.799 5.983 2.967
Tb 3.597 1.828 7.006
Tb 3.596 0.465 10.032
Tb 3.595 4.701 12.584
Er 1.798 3.582 9.607
Er 3.597 2.865 3.391
Al 3.597 5.769 8.251
Al 1.798 0.678 4.747
```

Results
Calculated formation energy in meV per atom: -141
Final energy in eV per atom: -4.580
Crystal system: monoclinic

(6)
The following is a DFT calculation (PBE-GGA) of Tb3ErAl after structural relaxation. Values from VASP.

Cell and atoms, written as Quantum ESPRESSO input:
```
&SYSTEM
  ibrav = 0, nat = 20, ntyp = 3
/
ATOMIC_SPECIES
Tb 158.93 Tb.upf
Er 167.26 Er.upf
Al 26.98 Al.upf
CELL_PARAMETERS angstrom
-5.999 -1.211 2.917
-3.199 -1.774 -7.315
2.772 -10.327 1.414
ATOMIC_POSITIONS angstrom
Tb -2.468 -5.080 -1.038
Tb -3.958 -8.232 -1.946
Tb -5.424 -2.521 1.821
Tb -1.001 -10.791 -4.806
Tb -2.518 -5.619 -4.584
Tb -3.908 -7.694 1.600
Tb -6.122 -3.261 -3.140
Tb -0.303 -10.051 0.155
Tb -5.981 -6.456 -4.448
Tb -0.445 -6.857 1.463
Tb -2.452 -2.382 -3.377
Tb -3.974 -10.930 0.393
Er -5.670 -5.525 -0.355
Er -0.755 -7.787 -2.629
Er -1.899 -2.011 0.981
Er -4.526 -11.302 -3.966
Al -4.273 -2.556 -0.896
Al -2.153 -10.757 -2.089
Al 0.242 -4.266 -0.199
Al -6.668 -9.047 -2.786
```

Results
Calculated formation energy in meV per atom: -30
Final energy in eV per atom: -4.469
Crystal system: monoclinic

(7)
The following is a DFT calculation (PBE-GGA) of Tb12ErAl3 after structural relaxation. Values from VASP.

Cell and atoms, written as Quantum ESPRESSO input:
```
&SYSTEM
  ibrav = 0, nat = 16, ntyp = 3
/
ATOMIC_SPECIES
Tb 158.93 Tb.upf
Er 167.26 Er.upf
Al 26.98 Al.upf
CELL_PARAMETERS angstrom
4.811 0.000 0.000
0.000 4.811 0.000
0.000 0.000 19.572
ATOMIC_POSITIONS angstrom
Tb 2.405 2.405 0.000
Tb 2.405 2.405 5.014
Tb 2.405 2.405 9.786
Tb 2.405 2.405 14.558
Tb 2.405 0.000 2.613
Tb 2.405 0.000 7.392
Tb 2.405 0.000 12.180
Tb 2.405 0.000 16.959
Tb 0.000 2.405 2.613
Tb 0.000 2.405 7.392
Tb 0.000 2.405 12.180
Tb 0.000 2.405 16.959
Er 0.000 0.000 0.000
Al 0.000 0.000 5.043
Al 0.000 0.000 9.786
Al 0.000 0.000 14.529
```

Results
Calculated formation energy in meV per atom: -126
Final energy in eV per atom: -4.586
Crystal system: tetragonal

(8)
The following is a DFT calculation (PBE-GGA) of Tb3ErAl8 after structural relaxation. Values from VASP.

Cell and atoms, written as Quantum ESPRESSO input:
```
&SYSTEM
  ibrav = 0, nat = 12, ntyp = 3
/
ATOMIC_SPECIES
Tb 158.93 Tb.upf
Er 167.26 Er.upf
Al 26.98 Al.upf
CELL_PARAMETERS angstrom
5.555 0.000 0.000
-2.778 4.811 0.000
0.000 0.000 9.125
ATOMIC_POSITIONS angstrom
Tb 2.778 1.604 3.948
Tb 2.778 1.604 0.624
Tb 0.000 0.000 8.505
Er 0.000 0.000 5.181
Al 0.000 3.207 4.567
Al 0.000 3.207 9.120
Al 2.778 0.044 6.835
Al 1.427 2.384 6.835
Al 4.129 2.384 6.835
Al 0.000 1.560 2.288
Al -1.427 4.031 2.288
Al 1.427 4.031 2.288
```

Results
Calculated formation energy in meV per atom: -509
Final energy in eV per atom: -4.541
Crystal system: trigonal

Number 4 is which compound? Tb2Er2Al